Entry from Alexandria via LeMat-Bulk: a geometry-optimized Ti2BeCrO structure (GGA+U).

```
Ti2BeCrO
1.0
4.900 0.000 0.000
0.000 2.877 0.000
0.000 0.000 4.900
O Ti Be Cr
1 2 1 1
Direct
0.000 0.500 0.000
0.000 0.000 0.500
0.500 0.000 0.000
0.000 0.000 0.000
0.500 0.500 0.500
```

Density of states at the Fermi level (states/eV/atom): 1.32
Electronic total energy (eV for the cell shown): -29.1
Symmetry: P4/mmm, No. 123